(1)
Density functional theory data (PBE) for a relaxed Zr2CoGe2 crystal.

Summary:
The volume comes out at 18.06 Å³ per atom. As for the energy of formation from the pure elements: -0.600 eV/atom. Its total energy is -36.4 eV/f.u.

Structure (POSCAR):
```
Zr2CoGe2
1.0
-2.7622 6.0368 2.7072
2.7622 -6.0368 2.7072
2.7622 6.0368 -2.7072
Zr Co Ge
4 2 4
direct
0.1621 0.2344 0.3964
0.3379 0.7344 0.0723
0.6621 0.2656 0.9277
0.8379 0.7656 0.6036
0.2500 0.2500 0.0000
0.7500 0.7500 0.0000
0.1008 0.7216 0.8224
0.3992 0.2216 0.6208
0.6008 0.7784 0.3792
0.8992 0.2784 0.1776
```

=====

(2)
Density functional theory data (PBE) for a relaxed LiMg2Al3 crystal.

Summary:
The volume comes out at 18.53 Å³ per atom. As for the energy of formation from the pure elements: -0.064 eV/atom. Its total energy is -16.7 eV/f.u.

Structure (POSCAR):
```
LiMg2Al3
1.0
4.6279 -2.7206 0.0000
4.6279 2.7206 0.0000
-3.0315 0.0000 4.4159
Li Mg Al
1 2 3
direct
0.0000 0.0000 0.0000
0.3748 0.3748 0.6260
0.6252 0.6252 0.3740
0.0000 0.0000 0.5000
0.0000 0.5000 0.0000
0.5000 0.0000 0.0000
```

=====

(3)
Density functional theory data (PBE) for a relaxed CeTl2OsO6 crystal.

Summary:
The volume comes out at 20.46 Å³ per atom. As for the raw formation energy: -14.5 eV per formula unit. Its total energy is -66.1 eV/f.u.

Structure (POSCAR):
```
CeTl2OsO6
1.0
5.8580 0.0000 0.0000
-0.0287 5.9136 0.0000
-2.7353 -2.5639 5.9057
Ce Tl Os O
1 2 1 6
direct
0.0000 0.0000 0.0000
0.2342 0.7764 0.5051
0.7658 0.2236 0.4949
0.5000 0.5000 0.0000
0.0915 0.0968 0.3310
0.2722 0.3559 0.0538
0.3472 0.7678 0.0279
0.6528 0.2322 0.9721
0.7278 0.6441 0.9462
0.9085 0.9032 0.6690
```

=====

(4)
Density functional theory data (PBE) for a relaxed NpTePdN crystal.

Summary:
The volume comes out at 18.46 Å³ per atom. As for the raw formation energy: -3.2 eV per formula unit. Its total energy is -32.8 eV/f.u.

Structure (POSCAR):
```
NpTePdN
1.0
3.9707 0.0000 0.0000
0.0000 3.9707 0.0000
0.0000 0.0000 9.3652
Np Te Pd N
2 2 2 2
direct
0.2500 0.2500 0.1171
0.7500 0.7500 0.8829
0.2500 0.2500 0.7017
0.7500 0.7500 0.2983
0.2500 0.7500 0.5000
0.7500 0.2500 0.5000
0.2500 0.7500 0.0000
0.7500 0.2500 0.0000
```